[1]
K3HfSb after structural relaxation, computed with PBE.

The structure in POSCAR format:
```
K3HfSb
1.0
-3.9111 1.5566 -4.9176
-3.6064 -5.2375 1.2104
-3.6878 3.4710 4.0317
K Hf Sb
3 1 1
Direct
0.5000 0.0000 0.0000
0.0000 0.5000 0.0000
0.0000 0.0000 0.5000
0.0000 0.0000 0.0000
0.5000 0.5000 0.5000
```

Properties
**Volume**: 271 Å³/f.u.
**E above lowest polymorph**: 355 meV/atom
**Formation energy from raw total energies**: 1252 meV/atom

[2]
K2HfSbSe5 after structural relaxation, computed with PBE.

The structure in POSCAR format:
```
K2HfSbSe5
1.0
-3.0676 -1.9096 -1.8814
-0.9311 -3.1438 9.1198
-8.6469 11.0182 2.9154
Se K Hf Sb
10 4 2 2
Direct
0.6812 0.3625 0.9005
0.4943 0.9886 0.7641
0.7075 0.4150 0.1530
0.5057 0.0114 0.2641
0.2925 0.5850 0.6530
0.6613 0.3226 0.4953
0.0534 0.1068 0.0599
0.3387 0.6774 0.9953
0.9466 0.8932 0.5599
0.3188 0.6375 0.4005
0.1405 0.2811 0.3162
0.8829 0.7658 0.1710
0.8595 0.7189 0.8162
0.1171 0.2342 0.6710
0.2117 0.4234 0.0339
0.7883 0.5766 0.5339
0.5441 0.0883 0.9302
0.4559 0.9117 0.4302
```

Properties
**Volume**: 276 Å³/f.u.
**Formation energy from raw total energies**: -898 meV/atom

[3]
KHfSb2Te after structural relaxation, computed with PBE.

The structure in POSCAR format:
```
KHfSb2Te
1.0
5.5338 0.0000 0.0000
0.0000 5.5338 0.0000
0.0000 0.0000 5.6892
Sb Te K Hf
2 1 1 1
Direct
0.0000 0.5000 0.0000
0.5000 0.0000 0.0000
0.0000 0.0000 0.5000
0.0000 0.0000 0.0000
0.5000 0.5000 0.5000
```

Properties
**Volume**: 174 Å³/f.u.
**E above lowest polymorph**: 1737 meV/atom
**Formation energy from raw total energies**: 1444 meV/atom

[4]
KHfSb2Te after structural relaxation, computed with PBE.

The structure in POSCAR format:
```
KHfSb2Te
1.0
-2.3444 4.9871 0.9245
-5.0439 -2.1852 -1.0031
-0.5431 -1.2775 5.5141
Te Sb Hf K
1 2 1 1
Direct
0.0000 0.0000 0.5000
0.0000 0.5000 0.0000
0.5000 0.0000 0.0000
0.0000 0.0000 0.0000
0.5000 0.5000 0.5000
```

Properties
**Volume**: 178 Å³/f.u.
**E above lowest polymorph**: 0 meV/atom
**Formation energy from raw total energies**: -293 meV/atom

[5]
KHfVSb2 after structural relaxation, computed with PBE.

The structure in POSCAR format:
```
KHfVSb2
1.0
-1.3077 -1.6923 -4.8551
3.6068 -3.8721 0.3782
-3.3537 -2.9357 1.9266
Hf V K Sb
1 1 1 2
Direct
0.0000 0.0000 0.5000
0.0000 0.0000 0.0000
0.5000 0.5000 0.5000
0.0000 0.5000 0.0000
0.5000 0.0000 0.0000
```

Properties
**Volume**: 137 Å³/f.u.
**Formation energy from raw total energies**: 298 meV/atom

[6]
KHfSbW2 after structural relaxation, computed with PBE.

The structure in POSCAR format:
```
KHfSbW2
1.0
5.0544 0.0000 0.0000
0.0000 5.3951 0.0000
0.0000 0.0000 5.0544
Sb W Hf K
1 2 1 1
Direct
0.0000 0.0000 0.0000
0.5000 0.0000 0.0000
0.0000 0.0000 0.5000
0.0000 0.5000 0.0000
0.5000 0.5000 0.5000
```

Properties
**Volume**: 138 Å³/f.u.
**Formation energy from raw total energies**: 2067 meV/atom

[7]
KHfSc after structural relaxation, computed with PBE.

The structure in POSCAR format:
```
KHfSc
1.0
3.7509 0.0000 0.0002
0.0000 3.7477 0.0063
-0.0036 -0.1078 14.9216
Hf K Sc
2 2 2
Direct
0.1694 0.8254 0.3445
0.6694 0.3234 0.2544
0.6691 0.3157 0.9347
0.1697 0.8328 0.6641
0.1693 0.8207 0.1415
0.6695 0.3281 0.4574
```

Properties
**Volume**: 105 Å³/f.u.
**E above lowest polymorph**: 0 meV/atom
**Calculated formation energy**: 0.25 eV/atom

[8]
KHfSc after structural relaxation, computed with PBE.

The structure in POSCAR format:
```
KHfSc
1.0
-20.1119 10.8519 10.9873
-11.5260 2.9955 4.3618
10.2896 -6.8633 -2.8050
K Hf Sc
2 2 2
Direct
0.7064 0.7952 0.2048
0.2078 0.9416 0.0584
0.2044 0.5758 0.4242
0.7044 0.5769 0.4231
0.2048 0.1611 0.8389
0.7047 0.1616 0.8384
```

Properties
**Volume**: 117 Å³/f.u.
**E above lowest polymorph**: 111 meV/atom
**Calculated formation energy**: 0.36 eV/atom

[9]
KHfSc2 after structural relaxation, computed with PBE.

The structure in POSCAR format:
```
KHfSc2
1.0
-7.0172 9.5005 -3.3582
-7.3082 9.8671 -0.0940
-4.7434 11.2006 -1.6808
Sc K Hf
2 1 1
Direct
0.0988 0.0988 0.0988
0.9012 0.9012 0.9012
0.0000 0.0000 0.0000
0.5000 0.5000 0.5000
```

Properties
**Volume**: 114 Å³/f.u.
**E above lowest polymorph**: 0 meV/atom
**Calculated formation energy**: 0.33 eV/atom

[10]
KHfSc after structural relaxation, computed with PBE.

The structure in POSCAR format:
```
KHfSc
1.0
-1.2887 2.9952 0.4349
-0.6043 -0.9651 4.8559
11.0257 6.1073 2.5859
Sc K Hf
2 2 2
Direct
0.3453 0.5000 0.7084
0.8053 0.0000 0.7920
0.5443 0.0000 0.2932
0.2012 0.5000 0.0111
0.4070 0.0000 0.5808
0.9438 0.5000 0.5041
```

Properties
**Volume**: 105 Å³/f.u.
**E above lowest polymorph**: 109 meV/atom
**Calculated formation energy**: 0.36 eV/atom

[11]
KHfSc after structural relaxation, computed with PBE.

The structure in POSCAR format:
```
KHfSc
1.0
13.9320 0.0000 0.0000
0.0000 5.8849 0.0000
0.0000 0.0000 5.2419
Sc Hf K
4 4 4
Direct
0.5000 0.0000 0.5000
0.0000 0.0000 0.0000
0.5000 0.5000 0.5000
0.0000 0.5000 0.0000
0.0250 0.7500 0.5000
0.4750 0.2500 0.0000
0.5250 0.7500 0.0000
0.9750 0.2500 0.5000
0.2340 0.2500 0.4989
0.7660 0.7500 0.5011
0.7340 0.2500 0.0011
0.2660 0.7500 0.9989
```

Properties
**Volume**: 107 Å³/f.u.
**E above lowest polymorph**: 509 meV/atom
**Calculated formation energy**: 0.76 eV/atom

[12]
KHfSc after structural relaxation, computed with PBE.

The structure in POSCAR format:
```
KHfSc
1.0
-8.5669 -8.2872 5.4412
2.0020 -1.1101 2.4639
-1.8782 3.6951 3.1907
K Sc Hf
2 2 2
Direct
0.0034 0.8865 0.4591
0.2991 0.2276 0.9298
0.7465 0.0129 0.9994
0.7316 0.5197 0.4927
0.5609 0.6023 0.8808
0.5481 0.1083 0.3691
```

Properties
**Volume**: 114 Å³/f.u.
**E above lowest polymorph**: 145 meV/atom
**Calculated formation energy**: 0.40 eV/atom